(1)
The following is a PBE calculation of crystalline NbAs2HSe at its relaxed geometry, from Alexandria via LeMat-Bulk.

a = 3.9108 Å, b = 3.9108 Å, c = 5.1546 Å
α = 90.00°, β = 90.00°, γ = 90.00°
Last column: nearest neighbours and their distance in Å.
Space group P4/mmm (No. 123)
Asymmetric unit:
Nb 0.0000 0.0000 0.0000  4 Se 2.77
As 0.0000 0.5000 0.5000  2 H 1.96
H 0.5000 0.5000 0.5000  4 As 1.96
Se 0.5000 0.5000 0.0000  2 H 2.58, 4 Nb 2.77

Computed properties:
E in eV per cell: -24.15

(2)
The following is a PBE calculation of crystalline BaDy2H at its relaxed geometry, from Alexandria via LeMat-Bulk.

a = 3.6284 Å, b = 3.6284 Å, c = 29.6719 Å
α = 90.00°, β = 90.00°, γ = 120.00°
Last column: nearest neighbours and their distance in Å.
Space group R-3m (No. 166, hexagonal axes)
Asymmetric unit:
Ba 0.0000 0.0000 0.0000  6 Ba 3.63, 2 Dy 3.64
Dy 0.0000 0.0000 0.1226  3 H 2.47
H 0.0000 0.0000 0.5000  6 Dy 2.47

Computed properties:
E in eV per cell: -43.18

Which value of E does entry 2 give? -43.18 eV per cell

Among the records above, which one has the lowest E? BaDy2H